[1]
Compound: CsTlIn2Bi2
Source: Alexandria
Functional: PBE
Structure: relaxed

abc: 5.5273 5.5273 8.7077
angles: 90.00 90.00 120.00
Sites, in units of the cell vectors:
Cs 0.0000 0.0000 0.0000
Tl 0.0000 0.0000 0.5000
In 0.3333 0.6667 0.3534
In 0.6667 0.3333 0.6466
Bi 0.3333 0.6667 0.7081
Bi 0.6667 0.3333 0.2919

Calculated values
electronic total energy	-2.92	eV/atom
size of the total moment	0.00	μB per cell



[2]
Compound: YSb3C
Source: Alexandria
Functional: PBE
Structure: relaxed

abc: 5.7729 5.7729 5.7729
angles: 90.00 90.00 90.00
Sites, in units of the cell vectors:
Y 0.0000 0.0000 0.0000
Sb 0.0000 0.0000 0.5000
Sb 0.0000 0.5000 0.0000
Sb 0.5000 0.0000 0.0000
C 0.5000 0.5000 0.5000

Calculated values
excess energy over the best structure of this formula in the dataset	1259.2	meV/atom
size of the total moment	1.99	μB per cell



[3]
Compound: SrMgCr3
Source: Alexandria
Functional: PBE
Structure: relaxed

abc: 5.2071 5.2071 5.2071
angles: 90.00 90.00 90.00
Sites, in units of the cell vectors:
Sr 0.0000 0.0000 0.0000
Mg 0.5000 0.5000 0.5000
Cr 0.0000 0.5000 0.5000
Cr 0.5000 0.0000 0.5000
Cr 0.5000 0.5000 0.0000

Calculated values
excess energy over the best structure of this formula in the dataset	0.0	meV/atom
size of the total moment	13.58	μB per cell



[4]
Compound: Li4CeSc
Source: Alexandria
Functional: PBE
Structure: relaxed

abc: 5.7207 5.7207 5.7207
angles: 60.00 60.00 60.00
Sites, in units of the cell vectors:
Li 0.3767 0.3767 0.3767
Li 0.3767 0.3767 0.8698
Li 0.3767 0.8698 0.3767
Li 0.8698 0.3767 0.3767
Ce 0.0000 0.0000 0.0000
Sc 0.7500 0.7500 0.7500

Calculated values
electronic total energy	-3.12	eV/atom
size of the total moment	1.89	μB per cell



[5]
Compound: Rb2CaCeCl6
Source: Alexandria
Functional: PBE
Structure: relaxed

abc: 7.6353 11.1122 8.1501
angles: 90.00 90.00 90.00
Sites, in units of the cell vectors:
Rb 0.2500 0.0231 0.2103
Rb 0.2500 0.4769 0.2103
Rb 0.7500 0.5231 0.7897
Rb 0.7500 0.9769 0.7897
Ca 0.2500 0.7500 0.7663
Ca 0.7500 0.2500 0.2337
Ce 0.2500 0.2500 0.7283
Ce 0.7500 0.7500 0.2717
Cl 0.0017 0.7500 0.0100
Cl 0.0091 0.2500 0.4631
Cl 0.2500 0.5037 0.7751
Cl 0.2500 0.9963 0.7751
Cl 0.4909 0.2500 0.4631
Cl 0.4983 0.7500 0.0100
Cl 0.5017 0.2500 0.9900
Cl 0.5091 0.7500 0.5369
Cl 0.7500 0.0037 0.2249
Cl 0.7500 0.4963 0.2249
Cl 0.9909 0.7500 0.5369
Cl 0.9983 0.2500 0.9900

Calculated values
electronic total energy	-4.12	eV/atom
size of the total moment	3.59	μB per cell



[6]
Compound: AcSm4Ho5
Source: Alexandria
Functional: PBE
Structure: relaxed

abc: 8.0056 8.0056 8.0056
angles: 99.23 99.23 132.77
Sites, in units of the cell vectors:
Ac 0.0000 0.0000 0.0000
Sm 0.1321 0.8322 0.4083
Sm 0.4239 0.7238 0.5917
Sm 0.7238 0.1321 0.2999
Sm 0.8322 0.4239 0.7001
Ho 0.0521 0.1402 0.6125
Ho 0.1402 0.5278 0.0882
Ho 0.4396 0.0521 0.9118
Ho 0.5278 0.4396 0.3875
Ho 0.5305 0.5305 0.0000

Calculated values
excess energy over the best structure of this formula in the dataset	107.6	meV/atom
size of the total moment	0.00	μB per cell



[7]
Compound: SmY2Th3P6
Source: Alexandria
Functional: PBE
Structure: relaxed

abc: 7.1102 7.1102 7.0598
angles: 99.68 99.68 119.92
Sites, in units of the cell vectors:
Sm 0.0000 0.0000 0.0000
Y 0.3331 0.6669 0.0000
Y 0.6669 0.3331 0.0000
Th 0.1661 0.8339 0.5000
Th 0.5000 0.5000 0.5000
Th 0.8339 0.1661 0.5000
P 0.0820 0.4184 0.2461
P 0.2547 0.2547 0.7546
P 0.4184 0.0820 0.2461
P 0.5816 0.9180 0.7539
P 0.7453 0.7453 0.2454
P 0.9180 0.5816 0.7539

Calculated values
electronic total energy	-7.62	eV/atom
size of the total moment	0.00	μB per cell



[8]
Compound: Sm2CdH
Source: Alexandria
Functional: PBE
Structure: relaxed

abc: 8.2458 8.2458 8.2458
angles: 25.66 25.66 25.66
Sites, in units of the cell vectors:
Sm 0.2257 0.2257 0.2257
Sm 0.7743 0.7743 0.7743
Cd 0.0000 0.0000 0.0000
H 0.5000 0.5000 0.5000

Calculated values
excess energy over the best structure of this formula in the dataset	0.0	meV/atom
size of the total moment	0.00	μB per cell



[9]
Compound: TmPuBi6
Source: Alexandria
Functional: PBE
Structure: relaxed

abc: 4.5841 11.8020 11.8020
angles: 23.00 90.00 90.00
Sites, in units of the cell vectors:
Tm 0.0000 0.0000 0.0000
Pu 0.5000 0.3507 0.3507
Bi 0.0000 0.2411 0.2411
Bi 0.0000 0.6254 0.6254
Bi 0.0000 0.8648 0.8648
Bi 0.5000 0.1019 0.1019
Bi 0.5000 0.4885 0.4885
Bi 0.5000 0.7443 0.7443

Calculated values
electronic total energy	-5.46	eV/atom
size of the total moment	5.63	μB per cell



[10]
Compound: BeOs2Ru
Source: Alexandria
Functional: PBE
Structure: relaxed

abc: 4.9113 4.9113 4.9113
angles: 146.75 128.15 63.00
Sites, in units of the cell vectors:
Be 0.0000 0.0000 0.0000
Os 0.4994 0.4994 0.0000
Os 0.7787 0.2787 0.5000
Ru 0.2177 0.7177 0.5000

Calculated values
electronic total energy	-8.85	eV/atom
size of the total moment	0.00	μB per cell



[11]
Compound: Nd2AlSi3Ir4
Source: Alexandria
Functional: PBE
Structure: relaxed

abc: 4.1769 4.1769 10.1116
angles: 90.00 90.00 90.00
Sites, in units of the cell vectors:
Nd 0.0000 0.5000 0.2489
Nd 0.5000 0.0000 0.7511
Al 0.5000 0.5000 0.0000
Si 0.0000 0.0000 0.0000
Si 0.0000 0.5000 0.6273
Si 0.5000 0.0000 0.3727
Ir 0.0000 0.0000 0.5000
Ir 0.0000 0.5000 0.8658
Ir 0.5000 0.0000 0.1342
Ir 0.5000 0.5000 0.5000

Calculated values
electronic total energy	-7.51	eV/atom
size of the total moment	0.00	μB per cell



[12]
Compound: La2PPd6Pb
Source: Alexandria
Functional: PBE
Structure: relaxed

abc: 5.6306 8.8988 8.5785
angles: 90.00 90.00 90.00
Sites, in units of the cell vectors:
La 0.2500 0.0028 0.2436
La 0.2500 0.4972 0.2436
La 0.7500 0.5028 0.7564
La 0.7500 0.9972 0.7564
P 0.2500 0.7500 0.7190
P 0.7500 0.2500 0.2810
Pd 0.0005 0.2500 0.5090
Pd 0.0086 0.7500 0.9425
Pd 0.2500 0.5042 0.6062
Pd 0.2500 0.9958 0.6062
Pd 0.4914 0.7500 0.9425
Pd 0.4995 0.2500 0.5090
Pd 0.5005 0.7500 0.4910
Pd 0.5086 0.2500 0.0575
Pd 0.7500 0.0042 0.3938
Pd 0.7500 0.4958 0.3938
Pd 0.9914 0.2500 0.0575
Pd 0.9995 0.7500 0.4910
Pb 0.2500 0.2500 0.7954
Pb 0.7500 0.7500 0.2046

Calculated values
electronic total energy	-5.72	eV/atom
size of the total moment	0.00	μB per cell